Compound: BeZnS2
Source: Alexandria
Functional: PBE
Structure: optimized geometry

## Properties
Uncorrected formation energy (eV per atom): -0.91
Space group: Cm (8)
Distance to the lowest polymorph of the same formula (meV per atom): 12
Size of the total moment (Bohr magnetons per cell): 0.00

Unit cell a=6.2905 b=6.2905 c=6.3579 alpha=99.09 beta=99.09 gamma=33.53
Last column: nearest neighbours and their distance in Å.
Fractional coordinates of all 8 atoms:
Be 0.0000 0.0000 0.0000  4 S 2.10-2.17
Be 0.7434 0.7434 0.2354  4 S 2.12-2.15
Zn 0.2492 0.2492 0.7503  4 S 2.33-2.34
Zn 0.4920 0.4920 0.4837  4 S 2.32-2.35
S 0.0527 0.0527 0.7012  1 Be 2.10, 3 Zn 2.32-2.34
S 0.2950 0.2950 0.4061  2 Be 2.15, 2 Zn 2.34
S 0.5643 0.5643 0.1621  3 Be 2.13-2.17, 1 Zn 2.35
S 0.8216 0.8216 0.9595  2 Be 2.12, 2 Zn 2.33

Compound: BeZnS2
Source: Alexandria
Functional: PBE
Structure: optimized geometry

## Properties
Uncorrected formation energy (eV per atom): -0.72
Space group: P3m1 (156)
Distance to the lowest polymorph of the same formula (meV per atom): 207
Size of the total moment (Bohr magnetons per cell): 0.00

Unit cell a=3.6143 b=3.6143 c=5.9214 alpha=90.00 beta=90.00 gamma=120.00
Last column: nearest neighbours and their distance in Å.
Fractional coordinates of all 4 atoms:
Be 0.0000 0.0000 0.0000  4 S 2.11-2.19
Zn 0.6667 0.3333 0.5111  3 S 2.28
S 0.0000 0.0000 0.3568  1 Be 2.11, 3 Zn 2.28
S 0.3333 0.6667 0.8858  3 Be 2.19

Compound: BeZnS2
Source: Alexandria
Functional: PBE
Structure: optimized geometry

## Properties
Uncorrected formation energy (eV per atom): -0.75
Space group: C2/c (15)
Distance to the lowest polymorph of the same formula (meV per atom): 173
Size of the total moment (Bohr magnetons per cell): 0.00

Unit cell a=6.1732 b=6.1732 c=5.7073 alpha=109.63 beta=109.63 gamma=105.97
Last column: nearest neighbours and their distance in Å.
Fractional coordinates of all 8 atoms:
Be 0.0074 0.9926 0.7500  4 S 2.11-2.13
Be 0.9926 0.0074 0.2500  4 S 2.11-2.13
Zn 0.2850 0.7150 0.2500  4 S 2.32-2.41
Zn 0.7150 0.2850 0.7500  4 S 2.32-2.41
S 0.0562 0.2889 0.1182  2 Be 2.11-2.13, 1 Zn 2.32
S 0.2889 0.0562 0.6182  2 Be 2.11-2.13, 1 Zn 2.32
S 0.7111 0.9438 0.3818  2 Be 2.11-2.13, 1 Zn 2.32
S 0.9438 0.7111 0.8818  2 Be 2.11-2.13, 1 Zn 2.32

Compound: BeZnS2
Source: Alexandria
Functional: PBE
Structure: optimized geometry

## Properties
Uncorrected formation energy (eV per atom): -0.79
Space group: Pnma (62)
Distance to the lowest polymorph of the same formula (meV per atom): 131
Size of the total moment (Bohr magnetons per cell): 0.00

Unit cell a=6.4125 b=3.6998 c=13.7162 alpha=90.00 beta=90.00 gamma=90.00
Last column: nearest neighbours and their distance in Å.
Fractional coordinates of all 16 atoms:
Be 0.0839 0.2500 0.0582  4 S 2.10-2.18
Be 0.4161 0.7500 0.5582  4 S 2.10-2.18
Be 0.5839 0.2500 0.4418  4 S 2.10-2.18
Be 0.9161 0.7500 0.9418  4 S 2.10-2.18
Zn 0.0792 0.7500 0.4237  3 S 2.29-2.31
Zn 0.4208 0.2500 0.9237  3 S 2.29-2.31
Zn 0.5792 0.7500 0.0763  3 S 2.29-2.31
Zn 0.9208 0.2500 0.5763  3 S 2.29-2.31
S 0.0638 0.2500 0.8996  3 Be 2.16-2.18, 1 Zn 2.31
S 0.1132 0.7500 0.6156  1 Be 2.10, 2 Zn 2.29
S 0.3868 0.2500 0.1156  1 Be 2.10, 2 Zn 2.29
S 0.4362 0.7500 0.3996  3 Be 2.16-2.18, 1 Zn 2.31
S 0.5638 0.2500 0.6004  3 Be 2.16-2.18, 1 Zn 2.31
S 0.6132 0.7500 0.8844  1 Be 2.10, 2 Zn 2.29
S 0.8868 0.2500 0.3844  1 Be 2.10, 2 Zn 2.29
S 0.9362 0.7500 0.1004  3 Be 2.16-2.18, 1 Zn 2.31

Compound: BeZnS2
Source: Alexandria
Functional: PBE
Structure: optimized geometry

## Properties
Uncorrected formation energy (eV per atom): -0.91
Space group: Pmn2_1 (31)
Distance to the lowest polymorph of the same formula (meV per atom): 14
Size of the total moment (Bohr magnetons per cell): 0.00

Unit cell a=3.6320 b=7.3225 c=5.1532 alpha=90.00 beta=90.00 gamma=90.00
Last column: nearest neighbours and their distance in Å.
Fractional coordinates of all 8 atoms:
Be 0.0000 0.1141 0.0000  4 S 2.10-2.17
Be 0.5000 0.8859 0.5000  4 S 2.10-2.17
Zn 0.0000 0.6377 0.0033  4 S 2.32-2.35
Zn 0.5000 0.3623 0.5033  4 S 2.32-2.35
S 0.0000 0.3576 0.7841  1 Be 2.10, 3 Zn 2.32-2.34
S 0.0000 0.8946 0.7301  3 Be 2.13-2.17, 1 Zn 2.35
S 0.5000 0.1054 0.2301  3 Be 2.13-2.17, 1 Zn 2.35
S 0.5000 0.6424 0.2841  1 Be 2.10, 3 Zn 2.32-2.34

Compound: BeZnS2
Source: Alexandria
Functional: PBE
Structure: optimized geometry

## Properties
Uncorrected formation energy (eV per atom): -0.92
Space group: I-42d (122)
Distance to the lowest polymorph of the same formula (meV per atom): 0
Size of the total moment (Bohr magnetons per cell): 0.00

Unit cell a=6.2694 b=6.2694 c=6.2694 alpha=131.17 beta=131.17 gamma=71.55
Last column: nearest neighbours and their distance in Å.
Fractional coordinates of all 8 atoms:
Be 0.0000 0.0000 0.0000  4 S 2.13
Be 0.7500 0.2500 0.5000  4 S 2.13
Zn 0.2500 0.7500 0.5000  4 S 2.35
Zn 0.5000 0.5000 0.0000  4 S 2.35
S 0.0881 0.6250 0.9631  2 Be 2.13, 2 Zn 2.35
S 0.3750 0.3381 0.4631  2 Be 2.13, 2 Zn 2.35
S 0.6619 0.1250 0.0369  2 Be 2.13, 2 Zn 2.35
S 0.8750 0.9119 0.5369  2 Be 2.13, 2 Zn 2.35

Compound: BeZnS2
Source: Alexandria
Functional: PBE
Structure: optimized geometry

## Properties
Uncorrected formation energy (eV per atom): -0.65
Space group: P3m1 (156)
Distance to the lowest polymorph of the same formula (meV per atom): 269
Size of the total moment (Bohr magnetons per cell): 0.00

Unit cell a=3.5913 b=3.5913 c=6.2851 alpha=90.00 beta=90.00 gamma=120.00
Last column: nearest neighbours and their distance in Å.
Fractional coordinates of all 4 atoms:
Be 0.0000 0.0000 0.0000  3 S 2.13
Zn 0.3333 0.6667 0.5333  4 S 2.28-2.45
S 0.3333 0.6667 0.9231  3 Be 2.13
S 0.6667 0.3333 0.3844  3 Zn 2.28

Compound: BeZnS2
Source: Alexandria
Functional: PBE
Structure: optimized geometry

## Properties
Uncorrected formation energy (eV per atom): -0.92
Space group: Pna2_1 (33)
Distance to the lowest polymorph of the same formula (meV per atom): 1
Size of the total moment (Bohr magnetons per cell): 0.00

Unit cell a=6.2704 b=7.2961 c=5.9808 alpha=90.00 beta=90.00 gamma=90.00
Last column: nearest neighbours and their distance in Å.
Fractional coordinates of all 16 atoms:
Be 0.0765 0.1255 0.0000  4 S 2.11-2.13
Be 0.4235 0.6255 0.5000  4 S 2.11-2.13
Be 0.5765 0.3745 0.0000  4 S 2.11-2.13
Be 0.9235 0.8745 0.5000  4 S 2.11-2.13
Zn 0.0883 0.6239 0.9983  4 S 2.34-2.36
Zn 0.4117 0.1239 0.4983  4 S 2.34-2.36
Zn 0.5883 0.8761 0.9983  4 S 2.34-2.36
Zn 0.9117 0.3761 0.4983  4 S 2.34-2.36
S 0.0654 0.1083 0.6445  2 Be 2.11-2.13, 2 Zn 2.34-2.35
S 0.0999 0.6416 0.6060  2 Be 2.12-2.13, 2 Zn 2.35-2.36
S 0.4001 0.1416 0.1060  2 Be 2.12-2.13, 2 Zn 2.35-2.36
S 0.4346 0.6083 0.1445  2 Be 2.11-2.13, 2 Zn 2.34-2.35
S 0.5654 0.3917 0.6445  2 Be 2.11-2.13, 2 Zn 2.34-2.35
S 0.5999 0.8584 0.6060  2 Be 2.12-2.13, 2 Zn 2.35-2.36
S 0.9001 0.3584 0.1060  2 Be 2.12-2.13, 2 Zn 2.35-2.36
S 0.9346 0.8917 0.1445  2 Be 2.11-2.13, 2 Zn 2.34-2.35

Compound: BeZnS2
Source: Alexandria
Functional: PBE
Structure: optimized geometry

## Properties
Uncorrected formation energy (eV per atom): -0.44
Space group: R-3m (166)
Distance to the lowest polymorph of the same formula (meV per atom): 483
Size of the total moment (Bohr magnetons per cell): 0.00

Unit cell a=6.6753 b=6.6753 c=6.6753 alpha=33.37 beta=33.37 gamma=33.37
Last column: nearest neighbours and their distance in Å.
Fractional coordinates of all 4 atoms:
Be 0.0000 0.0000 0.0000  2 S 1.88
Zn 0.5000 0.5000 0.5000  6 S 2.55
S 0.0996 0.0996 0.0996  1 Be 1.88
S 0.9004 0.9004 0.9004  1 Be 1.88

Compound: BeZnS2
Source: Alexandria
Functional: PBE
Structure: optimized geometry

## Properties
Uncorrected formation energy (eV per atom): -0.48
Space group: C2/m (12)
Distance to the lowest polymorph of the same formula (meV per atom): 443
Size of the total moment (Bohr magnetons per cell): 0.00

Unit cell a=3.5346 b=3.5346 c=6.0330 alpha=107.15 beta=107.15 gamma=56.69
Last column: nearest neighbours and their distance in Å.
Fractional coordinates of all 4 atoms:
Be 0.0000 0.0000 0.0000  4 S 2.27
Zn 0.5000 0.5000 0.5000  6 S 2.39-2.63
S 0.2965 0.2965 0.7733  2 Be 2.27, 1 Zn 2.39
S 0.7035 0.7035 0.2267  2 Be 2.27, 1 Zn 2.39

Compound: BeZnS2
Source: Alexandria
Functional: PBE
Structure: optimized geometry

## Properties
Uncorrected formation energy (eV per atom): -0.79
Space group: P2_1/m (11)
Distance to the lowest polymorph of the same formula (meV per atom): 132
Size of the total moment (Bohr magnetons per cell): 0.00

Unit cell a=6.4148 b=3.6978 c=7.3194 alpha=90.00 beta=108.43 gamma=90.00
Last column: nearest neighbours and their distance in Å.
Fractional coordinates of all 8 atoms:
Be 0.1260 0.2500 0.1152  4 S 2.10-2.18
Be 0.8740 0.7500 0.8848  4 S 2.10-2.18
Zn 0.3669 0.2500 0.8508  3 S 2.29-2.32
Zn 0.6331 0.7500 0.1492  3 S 2.29-2.32
S 0.0079 0.7500 0.1985  3 Be 2.16-2.18, 1 Zn 2.32
S 0.4696 0.2500 0.2284  1 Be 2.10, 2 Zn 2.29
S 0.5304 0.7500 0.7716  1 Be 2.10, 2 Zn 2.29
S 0.9921 0.2500 0.8015  3 Be 2.16-2.18, 1 Zn 2.32

Compound: BeZnS2
Source: Alexandria
Functional: PBE
Structure: optimized geometry

## Properties
Uncorrected formation energy (eV per atom): -0.70
Space group: C2/c (15)
Distance to the lowest polymorph of the same formula (meV per atom): 226
Size of the total moment (Bohr magnetons per cell): 0.00

Unit cell a=7.3094 b=7.3094 c=11.0008 alpha=97.11 beta=97.11 gamma=82.81
Last column: nearest neighbours and their distance in Å.
Fractional coordinates of all 32 atoms:
Be 0.0185 0.3354 0.5802  3 S 1.99-2.08
Be 0.1620 0.6862 0.8257  4 S 2.09-2.22
Be 0.3138 0.8380 0.6743  4 S 2.09-2.22
Be 0.3354 0.0185 0.0802  3 S 1.99-2.08
Be 0.6646 0.9815 0.9198  3 S 1.99-2.08
Be 0.6862 0.1620 0.3257  4 S 2.09-2.22
Be 0.8380 0.3138 0.1743  4 S 2.09-2.22
Be 0.9815 0.6646 0.4198  3 S 1.99-2.08
Zn 0.0346 0.2190 0.8763  4 S 2.26-2.38
Zn 0.2190 0.0346 0.3763  4 S 2.26-2.38
Zn 0.3149 0.4756 0.3608  4 S 2.34-2.43
Zn 0.4756 0.3149 0.8608  4 S 2.34-2.43
Zn 0.5244 0.6851 0.1392  4 S 2.34-2.43
Zn 0.6851 0.5244 0.6392  4 S 2.34-2.43
Zn 0.7810 0.9654 0.6237  4 S 2.26-2.38
Zn 0.9654 0.7810 0.1237  4 S 2.26-2.38
S 0.0127 0.5282 0.2453  2 Be 2.08-2.16
S 0.0662 0.9338 0.7500  2 Be 2.09
S 0.2296 0.7672 0.0197  2 Be 2.08-2.16
S 0.2328 0.7704 0.4803  2 Be 2.08-2.16
S 0.2604 0.2912 0.5095  1 Be 1.99
S 0.2912 0.2604 0.0095  1 Be 1.99
S 0.4262 0.5738 0.7500  2 Be 2.22, 2 Zn 2.34
S 0.4718 0.9873 0.2547  2 Be 2.08-2.16
S 0.5282 0.0127 0.7453  2 Be 2.08-2.16
S 0.5738 0.4262 0.2500  2 Be 2.22, 2 Zn 2.34
S 0.7088 0.7396 0.9905  1 Be 1.99
S 0.7396 0.7088 0.4905  1 Be 1.99
S 0.7672 0.2296 0.5197  2 Be 2.08-2.16
S 0.7704 0.2328 0.9803  2 Be 2.08-2.16
S 0.9338 0.0662 0.2500  2 Be 2.09
S 0.9873 0.4718 0.7547  2 Be 2.08-2.16